# 1
# MgTiPb3 PBE relaxed
data_MgTiPb3
_cell_length_a 5.394
_cell_length_b 5.394
_cell_length_c 5.394
_cell_angle_alpha 90.00
_cell_angle_beta 90.00
_cell_angle_gamma 90.00
_symmetry_space_group_name_H-M 'P m -3 m'
_symmetry_Int_Tables_number 221
_symmetry_space_group_name_Hall '-P 4 2 3'
loop_
_atom_site_label
_atom_site_type_symbol
_atom_site_fract_x
_atom_site_fract_y
_atom_site_fract_z
_atom_site_occupancy
Mg1 Mg 0.000 0.000 0.000 1
Ti1 Ti 0.500 0.500 0.500 1
Pb1 Pb 0.000 0.000 0.500 1
# E: -3.26 eV/atom
# energy above the lowest structure with this stoichiometry: 13.23 kcal/mol of atoms
# DFT formation energy: 0.861 eV per atom
# volume: 31.4 A^3/atom

=====

# 2
# MgTiPb2 PBE relaxed
data_MgTiPb2
_cell_length_a 7.968
_cell_length_b 7.968
_cell_length_c 6.426
_cell_angle_alpha 90.00
_cell_angle_beta 90.00
_cell_angle_gamma 90.00
_symmetry_space_group_name_H-M 'I -4 2 d'
_symmetry_Int_Tables_number 122
_symmetry_space_group_name_Hall 'I -4 2bw'
loop_
_atom_site_label
_atom_site_type_symbol
_atom_site_fract_x
_atom_site_fract_y
_atom_site_fract_z
_atom_site_occupancy
Mg1 Mg 0.000 0.000 0.000 1
Ti1 Ti 0.000 0.000 0.500 1
Pb1 Pb 0.244 0.250 0.625 1
# E: -3.89 eV/atom
# DFT formation energy: 0.334 eV per atom
# volume: 25.5 A^3/atom

=====

# 3
# MgTiPb2 PBE relaxed
data_MgTiPb2
_cell_length_a 3.763
_cell_length_b 3.763
_cell_length_c 6.658
_cell_angle_alpha 90.00
_cell_angle_beta 90.00
_cell_angle_gamma 90.00
_symmetry_space_group_name_H-M 'P 4/m m m'
_symmetry_Int_Tables_number 123
_symmetry_space_group_name_Hall '-P 4 2'
loop_
_atom_site_label
_atom_site_type_symbol
_atom_site_fract_x
_atom_site_fract_y
_atom_site_fract_z
_atom_site_occupancy
Mg1 Mg 0.000 0.000 0.000 1
Ti1 Ti 0.000 0.000 0.500 1
Pb1 Pb 0.500 0.500 0.260 1
# E: -4.12 eV/atom
# DFT formation energy: 0.102 eV per atom
# volume: 23.6 A^3/atom

=====

# 4
# MgTiPb2 PBE relaxed
data_MgTiPb2
_cell_length_a 3.3522
_cell_length_b 3.3522
_cell_length_c 32.1043
_cell_angle_alpha 90.00
_cell_angle_beta 90.00
_cell_angle_gamma 120.00
_symmetry_space_group_name_H-M 'R -3 m'
_symmetry_Int_Tables_number 166
_symmetry_space_group_name_Hall '-R 3 2"'
loop_
_atom_site_label
_atom_site_type_symbol
_atom_site_fract_x
_atom_site_fract_y
_atom_site_fract_z
_atom_site_occupancy
Mg1 Mg 0.0000 0.0000 0.0000 1
Ti1 Ti 0.0000 0.0000 0.5000 1
Pb1 Pb 0.0000 0.0000 0.4115 1
# E: -3.86 eV/atom
# DFT formation energy: 0.367 eV per atom
# volume: 26.0 A^3/atom

=====

# 5
# MgTiPb2 PBE relaxed
data_MgTiPb2
_cell_length_a 4.844
_cell_length_b 4.844
_cell_length_c 4.002
_cell_angle_alpha 90.00
_cell_angle_beta 90.00
_cell_angle_gamma 90.00
_symmetry_space_group_name_H-M 'P 4/m m m'
_symmetry_Int_Tables_number 123
_symmetry_space_group_name_Hall '-P 4 2'
loop_
_atom_site_label
_atom_site_type_symbol
_atom_site_fract_x
_atom_site_fract_y
_atom_site_fract_z
_atom_site_occupancy
Mg1 Mg 0.000 0.000 0.000 1
Ti1 Ti 0.500 0.500 0.000 1
Pb1 Pb 0.000 0.500 0.500 1
# E: -4.11 eV/atom
# DFT formation energy: 0.119 eV per atom
# volume: 23.5 A^3/atom

=====

# 6
# Mg2Ti2Pb PBE relaxed
data_Mg2Ti2Pb
_cell_length_a 7.123
_cell_length_b 7.123
_cell_length_c 4.395
_cell_angle_alpha 90.00
_cell_angle_beta 90.00
_cell_angle_gamma 90.00
_symmetry_space_group_name_H-M 'P 4/m b m'
_symmetry_Int_Tables_number 127
_symmetry_space_group_name_Hall '-P 4 2ab'
loop_
_atom_site_label
_atom_site_type_symbol
_atom_site_fract_x
_atom_site_fract_y
_atom_site_fract_z
_atom_site_occupancy
Mg1 Mg 0.161 0.339 0.000 1
Ti1 Ti 0.130 0.630 0.500 1
Pb1 Pb 0.000 0.000 0.500 1
# E: -4.30 eV/atom
# DFT formation energy: 0.239 eV per atom
# volume: 22.3 A^3/atom

=====

# 7
# Mg2TiPb2 PBE relaxed
data_Mg2TiPb2
_cell_length_a 7.632
_cell_length_b 7.632
_cell_length_c 4.249
_cell_angle_alpha 90.00
_cell_angle_beta 90.00
_cell_angle_gamma 90.00
_symmetry_space_group_name_H-M 'P 4/m b m'
_symmetry_Int_Tables_number 127
_symmetry_space_group_name_Hall '-P 4 2ab'
loop_
_atom_site_label
_atom_site_type_symbol
_atom_site_fract_x
_atom_site_fract_y
_atom_site_fract_z
_atom_site_occupancy
Mg1 Mg 0.159 0.341 0.000 1
Ti1 Ti 0.000 0.000 0.500 1
Pb1 Pb 0.148 0.648 0.500 1
# E: -3.52 eV/atom
# DFT formation energy: 0.176 eV per atom
# volume: 24.8 A^3/atom

=====

# 8
# Mg2ZrTiPb PBE relaxed
data_Mg2ZrTiPb
_cell_length_a 5.350
_cell_length_b 5.350
_cell_length_c 4.754
_cell_angle_alpha 90.00
_cell_angle_beta 90.00
_cell_angle_gamma 90.00
_symmetry_space_group_name_H-M 'P 4/m m m'
_symmetry_Int_Tables_number 123
_symmetry_space_group_name_Hall '-P 4 2'
loop_
_atom_site_label
_atom_site_type_symbol
_atom_site_fract_x
_atom_site_fract_y
_atom_site_fract_z
_atom_site_occupancy
Mg1 Mg 0.000 0.500 0.000 1
Zr1 Zr 0.000 0.000 0.500 1
Ti1 Ti 0.000 0.000 0.000 1
Pb1 Pb 0.500 0.500 0.500 1
# E: -3.97 eV/atom
# DFT formation energy: 0.695 eV per atom
# volume: 27.2 A^3/atom

=====

# 9
# Mg5TlPb2 PBE relaxed
data_Mg5TlPb2
_cell_length_a 4.790
_cell_length_b 4.790
_cell_length_c 17.359
_cell_angle_alpha 90.00
_cell_angle_beta 90.00
_cell_angle_gamma 90.00
_symmetry_space_group_name_H-M 'I 4/m m m'
_symmetry_Int_Tables_number 139
_symmetry_space_group_name_Hall '-I 4 2'
loop_
_atom_site_label
_atom_site_type_symbol
_atom_site_fract_x
_atom_site_fract_y
_atom_site_fract_z
_atom_site_occupancy
Mg1 Mg 0.000 0.000 0.000 1
Mg2 Mg 0.000 0.500 0.120 1
Tl1 Tl 0.000 0.000 0.500 1
Pb1 Pb 0.000 0.000 0.247 1
# E: -2.25 eV/atom
# DFT formation energy: -0.031 eV per atom
# volume: 24.9 A^3/atom

=====

# 10
# MgTl2Pb PBE relaxed
data_MgTl2Pb
_cell_length_a 3.4643
_cell_length_b 3.4643
_cell_length_c 32.8138
_cell_angle_alpha 90.00
_cell_angle_beta 90.00
_cell_angle_gamma 120.00
_symmetry_space_group_name_H-M 'R -3 m'
_symmetry_Int_Tables_number 166
_symmetry_space_group_name_Hall '-R 3 2"'
loop_
_atom_site_label
_atom_site_type_symbol
_atom_site_fract_x
_atom_site_fract_y
_atom_site_fract_z
_atom_site_occupancy
Mg1 Mg 0.0000 0.0000 0.0000 1
Tl1 Tl 0.0000 0.0000 0.2566 1
Pb1 Pb 0.0000 0.0000 0.5000 1
# E: -2.51 eV/atom
# DFT formation energy: 0.000 eV per atom
# volume: 28.4 A^3/atom

=====

# 11
# MgTl4Pb PBE relaxed
data_MgTl4Pb
_cell_length_a 5.793
_cell_length_b 6.728
_cell_length_c 9.145
_cell_angle_alpha 90.00
_cell_angle_beta 96.04
_cell_angle_gamma 90.00
_symmetry_space_group_name_H-M 'P 1 21/m 1'
_symmetry_Int_Tables_number 11
loop_
_symmetry_equiv_pos_as_xyz
'x,y,z'
'-x,-y,-z'
'-x,y+1/2,-z'
'x,-y+1/2,z'
loop_
_atom_site_label
_atom_site_type_symbol
_atom_site_fract_x
_atom_site_fract_y
_atom_site_fract_z
_atom_site_occupancy
Mg1 Mg 0.139 0.250 0.457 1
Tl1 Tl 0.219 0.007 0.764 1
Tl2 Tl 0.231 0.750 0.082 1
Tl3 Tl 0.347 0.750 0.441 1
Pb1 Pb 0.287 0.250 0.141 1
# E: -2.44 eV/atom
# energy above the lowest structure with this stoichiometry: 0.00 kcal/mol of atoms
# DFT formation energy: 0.024 eV per atom
# volume: 29.5 A^3/atom

=====

# 12
# MgTlPb3 PBE relaxed
data_MgTlPb3
_cell_length_a 6.286
_cell_length_b 6.286
_cell_length_c 19.953
_cell_angle_alpha 90.00
_cell_angle_beta 90.00
_cell_angle_gamma 90.00
_symmetry_space_group_name_H-M 'I -4 m 2'
_symmetry_Int_Tables_number 119
_symmetry_space_group_name_Hall 'I -4 -2'
loop_
_atom_site_label
_atom_site_type_symbol
_atom_site_fract_x
_atom_site_fract_y
_atom_site_fract_z
_atom_site_occupancy
Mg1 Mg 0.000 0.000 0.000 1
Mg2 Mg 0.000 0.500 0.250 1
Tl1 Tl 0.000 0.000 0.412 1
Pb1 Pb 0.000 0.249 0.126 1
Pb2 Pb 0.000 0.500 0.519 1
# E: -2.80 eV/atom
# energy above the lowest structure with this stoichiometry: 3.27 kcal/mol of atoms
# DFT formation energy: 0.220 eV per atom
# volume: 39.4 A^3/atom